The following is a PBE-GGA calculation of CsRb3Br4 after structural relaxation, from the Alexandria database.

## Properties
- Mass density: 3.30 Mg/m³
- Energy relative to the elements, uncorrected: -1754 meV per atom
- DFT total energy: -24.480 eV for the cell shown
- Volume: 44.6 Å³ per atom
- Total moment: 0.000 μB per formula unit

The structure in POSCAR format:
```
CsRb3Br4
1.0
5.019 -7.091 0.000
5.019 7.091 0.000
0.000 0.000 5.016
Cs Rb Br
1 3 4
direct
0.000 0.000 0.000 Cs
0.000 0.500 0.500 Rb
0.500 0.000 0.500 Rb
0.500 0.500 0.000 Rb
0.254 0.746 0.000 Br
0.260 0.260 0.500 Br
0.740 0.740 0.500 Br
0.746 0.254 0.000 Br
```

The following is a PBE-GGA calculation of Cs2Rb3Br5 after structural relaxation, from the Alexandria database.

## Properties
- Mass density: 3.28 Mg/m³
- Energy relative to the elements, uncorrected: -1731 meV per atom
- DFT total energy: -30.288 eV for the cell shown
- Volume: 46.6 Å³ per atom
- Total moment: 0.132 μB per formula unit

The structure in POSCAR format:
```
Cs2Rb3Br5
1.0
9.019 -2.479 0.000
9.019 2.479 0.000
-7.553 0.000 10.422
Cs Rb Br
2 3 5
direct
0.173 0.173 0.273 Cs
0.827 0.827 0.727 Cs
0.000 0.000 0.500 Rb
0.385 0.385 0.126 Rb
0.615 0.615 0.874 Rb
0.206 0.206 0.804 Br
0.405 0.405 0.588 Br
0.500 0.500 0.000 Br
0.595 0.595 0.412 Br
0.794 0.794 0.196 Br
```

The following is a PBE-GGA calculation of Cs5Rb4Br after structural relaxation, from the Alexandria database.

## Properties
- Mass density: 1.98 Mg/m³
- Energy relative to the elements, uncorrected: -341 meV per atom
- DFT total energy: -13.216 eV for the cell shown
- Volume: 91.2 Å³ per atom
- Total moment: 0.000 μB per formula unit

The structure in POSCAR format:
```
Cs5Rb4Br
1.0
-7.827 7.827 3.720
7.827 -7.827 3.720
7.827 7.827 -3.720
Cs Rb Br
5 4 1
direct
0.000 0.000 0.000 Cs
0.334 0.334 0.669 Cs
0.334 0.666 0.000 Cs
0.666 0.334 0.000 Cs
0.666 0.666 0.331 Cs
0.000 0.344 0.344 Rb
0.000 0.656 0.656 Rb
0.344 0.000 0.344 Rb
0.656 0.000 0.656 Rb
0.500 0.500 0.000 Br
```

The following is a PBE-GGA calculation of CsRbBr2 after structural relaxation, from the Alexandria database.

## Properties
- Mass density: 3.39 Mg/m³
- Energy relative to the elements, uncorrected: -1764 meV per atom
- Offset from the most stable computed form: 0 meV/atom
- DFT total energy: -12.222 eV for the cell shown
- Volume: 46.3 Å³ per atom
- Total moment: 0.000 μB per formula unit

The structure in POSCAR format:
```
CsRbBr2
1.0
2.541 1.467 8.284
-2.541 1.467 8.284
0.000 -2.934 8.284
Cs Rb Br
1 1 2
direct
0.000 0.000 0.000 Cs
0.500 0.500 0.500 Rb
0.245 0.245 0.245 Br
0.755 0.755 0.755 Br
```